No. 1
The following is a DFT calculation (PBE) of a geometry-optimized Rb2HSe2 structure.

Cell: 4.5527 5.6285 5.6285 Å, 72.12 90.00 90.00°
Atoms (fractional coordinates):
Rb 0.5000 0.2482 0.2482
Rb 0.5000 0.7518 0.7518
H 0.0000 0.0000 0.0000
Se 0.0000 0.2662 0.7338
Se 0.0000 0.7338 0.2662

Output
Energy above the most stable polymorph in this dataset = 0 meV/atom
Space group = Cmmm, No. 65

=====

No. 2
The following is a DFT calculation (PBE) of a geometry-optimized Rb7H5Se structure.

Cell: 4.4992 7.3801 25.2052 Å, 90.00 90.00 107.75°
Atoms (fractional coordinates):
Rb 0.4693 0.9387 0.2500
Rb 0.5313 0.0626 0.7500
Rb 0.6344 0.2687 0.0338
Rb 0.3664 0.7328 0.9665
Rb 0.3660 0.7319 0.5336
Rb 0.6344 0.2688 0.4661
Rb 0.1847 0.3693 0.1707
Rb 0.8159 0.6317 0.8293
Rb 0.8153 0.6307 0.6707
Rb 0.1852 0.3703 0.3291
Rb 0.9070 0.8140 0.1103
Rb 0.0936 0.1871 0.8900
Rb 0.0929 0.1858 0.6099
Rb 0.9075 0.8149 0.3898
H 0.0004 0.0008 0.0002
H 0.7264 0.4528 0.9302
H 0.2744 0.5487 0.0700
H 0.5423 0.0846 0.3596
H 0.4583 0.9166 0.6402
H 0.0002 0.0003 0.4999
H 0.2747 0.5493 0.4299
H 0.7258 0.4515 0.5698
H 0.4588 0.9176 0.8598
H 0.5419 0.0838 0.1404
Se 0.7986 0.5971 0.2498
Se 0.2021 0.4043 0.7501

Output
Space group = C2/m, No. 12

=====

No. 3
The following is a DFT calculation (PBE) of a geometry-optimized RbSiHSe3 structure.

Cell: 7.8239 7.8239 6.8444 Å, 72.63 72.63 58.15°
Atoms (fractional coordinates):
Rb 0.6561 0.6561 0.7554
Rb 0.3439 0.3439 0.2446
Si 0.9399 0.9399 0.8501
Si 0.0601 0.0601 0.1499
H 0.2482 0.7518 0.5000
H 0.7518 0.2482 0.5000
Se 0.1192 0.1192 0.7876
Se 0.1456 0.6366 0.7379
Se 0.6366 0.1456 0.7379
Se 0.3634 0.8544 0.2621
Se 0.8544 0.3634 0.2621
Se 0.8808 0.8808 0.2124

Output
Space group = C2/m, No. 12

=====

no.,uncorrected energy (eV per cell),V (Å³ per atom),total magnetic moment (μB/f.u.)
1,-15.45,27.45,0.000
2,-63.17,30.66,0.000
3,-47.73,27.87,0.000